Record 1
The following is a DFT calculation (GGA-PBEsol) of an optimized crystal structure of ScAlH2Cl.

Values from the calculation:
Total magnetization: 0.0 μB per formula unit
Energy: -3.9820 eV per atom

a b c (Å): 3.8664 3.8664 5.8546
angles (deg): 90.00 90.00 90.00
Positions (direct):
Sc: 0.0000 0.0000 0.0000
Al: 0.0000 0.0000 0.5000
H: 0.0000 0.5000 0.0000
H: 0.5000 0.0000 0.0000
Cl: 0.5000 0.5000 0.5000

=====

Record 2
The following is a DFT calculation (GGA-PBEsol) of an optimized crystal structure of DyTmMg2.

Values from the calculation:
Total magnetization: 0.0 μB per formula unit
Energy: -3.3834 eV per atom

a b c (Å): 5.2605 5.2605 5.2605
angles (deg): 60.00 60.00 60.00
Positions (direct):
Dy: 0.0000 0.0000 0.0000
Tm: 0.5000 0.5000 0.5000
Mg: 0.2500 0.2500 0.2500
Mg: 0.7500 0.7500 0.7500

=====

Record 3
The following is a DFT calculation (GGA-PBEsol) of an optimized crystal structure of InTe2PbN.

Values from the calculation:
Total magnetization: 1.6 μB per formula unit
Energy: -3.6402 eV per atom
Relative energy among the computed polymorphs: 291.2 meV/atom
Formation energy from raw total energies: 4.36 eV/f.u.

a b c (Å): 5.8794 5.8794 4.2737
angles (deg): 90.00 90.00 90.00
Positions (direct):
In: 0.0000 0.0000 0.0000
Te: 0.0000 0.5000 0.5000
Te: 0.5000 0.0000 0.5000
Pb: 0.5000 0.5000 0.5000
N: 0.5000 0.5000 0.0000

=====

Record 4
The following is a DFT calculation (GGA-PBEsol) of an optimized crystal structure of InIrRu.

Values from the calculation:
Total magnetization: 0.1 μB per formula unit
Energy: -7.2461 eV per atom

a b c (Å): 4.4176 4.4176 2.7869
angles (deg): 90.00 90.00 120.00
Positions (direct):
In: 0.0000 0.0000 0.0000
Ir: 0.3333 0.6667 0.2422
Ru: 0.6667 0.3333 0.6951

=====

Record 5
The following is a DFT calculation (GGA-PBEsol) of an optimized crystal structure of IrAuBr2.

Values from the calculation:
Total magnetization: 0.0 μB per formula unit
Energy: -3.4197 eV per atom
Relative energy among the computed polymorphs: 599.6 meV/atom
Formation energy from raw total energies: 3.81 eV/f.u.

a b c (Å): 3.0718 3.0718 8.0129
angles (deg): 90.00 90.00 90.00
Positions (direct):
Ir: 0.0000 0.0000 0.0000
Au: 0.0000 0.0000 0.5000
Br: 0.5000 0.5000 0.2110
Br: 0.5000 0.5000 0.7890

=====

Record 6
The following is a DFT calculation (GGA-PBEsol) of an optimized crystal structure of K3Sb.

Values from the calculation:
Total magnetization: 0.0 μB per formula unit
Energy: -2.1558 eV per atom
Relative energy among the computed polymorphs: 244.1 meV/atom
Formation energy from raw total energies: -0.67 eV/f.u.

a b c (Å): 3.8431 5.3607 8.0646
angles (deg): 90.00 90.00 90.00
Positions (direct):
K: 0.0000 0.0000 0.0000
K: 0.5000 0.5000 0.3057
K: 0.5000 0.5000 0.6943
Sb: 0.0000 0.0000 0.5000

=====

Record 7
The following is a DFT calculation (GGA-PBEsol) of an optimized crystal structure of Y2InAg.

Values from the calculation:
Total magnetization: 0.4 μB per formula unit
Energy: -5.0630 eV per atom

a b c (Å): 9.7304 9.7304 9.7304
angles (deg): 21.06 21.06 21.06
Positions (direct):
Y: 0.0000 0.0000 0.0000
Y: 0.2330 0.2330 0.2330
In: 0.7543 0.7543 0.7543
Ag: 0.4894 0.4894 0.4894

=====

Record 8
The following is a DFT calculation (GGA-PBEsol) of an optimized crystal structure of ZrSc4.

Values from the calculation:
Total magnetization: 0.0 μB per formula unit
Energy: -7.0764 eV per atom

a b c (Å): 5.5294 5.5294 5.5294
angles (deg): 99.46 99.46 132.18
Positions (direct):
Zr: 0.0000 0.0000 0.0000
Sc: 0.2062 0.3980 0.6042
Sc: 0.3980 0.7938 0.1918
Sc: 0.6020 0.2062 0.8082
Sc: 0.7938 0.6020 0.3958

=====

Record 9
The following is a DFT calculation (GGA-PBEsol) of an optimized crystal structure of Ru2RhW.

Values from the calculation:
Total magnetization: 0.0 μB per formula unit
Energy: -10.6437 eV per atom
Relative energy among the computed polymorphs: 46.3 meV/atom

a b c (Å): 4.6678 4.6678 4.6678
angles (deg): 131.71 131.71 70.68
Positions (direct):
Ru: 0.0000 0.0000 0.0000
Ru: 0.7500 0.2500 0.5000
Rh: 0.2500 0.7500 0.5000
W: 0.5000 0.5000 0.0000

=====

Record 10
The following is a DFT calculation (GGA-PBEsol) of an optimized crystal structure of LaAlCd.

Values from the calculation:
Total magnetization: 0.0 μB per formula unit
Energy: -3.9267 eV per atom

a b c (Å): 4.7810 4.7810 3.7720
angles (deg): 90.00 90.00 120.00
Positions (direct):
La: 0.0000 0.0000 0.0000
Al: 0.3333 0.6667 0.5000
Cd: 0.6667 0.3333 0.5000

=====

Record 11
The following is a DFT calculation (GGA-PBEsol) of an optimized crystal structure of Ca2TaCl.

Values from the calculation:
Total magnetization: 0.0 μB per formula unit
Energy: -5.0519 eV per atom
Relative energy among the computed polymorphs: 0.0 meV/atom
Formation energy from raw total energies: -1.38 eV/f.u.

a b c (Å): 3.2037 3.2037 8.8115
angles (deg): 90.00 90.00 90.00
Positions (direct):
Ca: 0.0000 0.0000 0.2367
Ca: 0.0000 0.0000 0.7633
Ta: 0.5000 0.5000 0.5000
Cl: 0.5000 0.5000 0.0000

=====

Record 12
The following is a DFT calculation (GGA-PBEsol) of an optimized crystal structure of KMo2H.

Values from the calculation:
Total magnetization: 0.0 μB per formula unit
Energy: -4.3958 eV per atom
Relative energy among the computed polymorphs: 1428.0 meV/atom

a b c (Å): 4.3424 4.3424 4.3424
angles (deg): 60.00 60.00 60.00
Positions (direct):
K: 0.0000 0.0000 0.0000
Mo: 0.2500 0.2500 0.2500
Mo: 0.7500 0.7500 0.7500
H: 0.5000 0.5000 0.5000

=====

Record 13
The following is a DFT calculation (GGA-PBEsol) of an optimized crystal structure of AgHF2.

Values from the calculation:
Total magnetization: 0.0 μB per formula unit
Energy: -3.8815 eV per atom

a b c (Å): 5.1555 5.1555 5.1555
angles (deg): 41.77 41.77 41.77
Positions (direct):
Ag: 0.0000 0.0000 0.0000
H: 0.5000 0.5000 0.5000
F: 0.4188 0.4188 0.4188
F: 0.5812 0.5812 0.5812

=====

Record 14
The following is a DFT calculation (GGA-PBEsol) of an optimized crystal structure of Li2Co3O6.

Values from the calculation:
Total magnetization: 1.1 μB per formula unit
Energy: -6.7163 eV per atom
Formation energy from raw total energies: -15.24 eV/f.u.

a b c (Å): 4.8220 4.8220 9.9026
angles (deg): 104.27 104.27 59.98
Positions (direct):
Li: 0.0839 0.9161 0.5000
Li: 0.5793 0.7502 0.0000
Li: 0.7502 0.5793 0.5000
Li: 0.9161 0.0839 0.0000
Co: 0.1678 0.3318 0.7485
Co: 0.3318 0.1678 0.2485
Co: 0.4955 0.6594 0.7408
Co: 0.6594 0.4955 0.2408
Co: 0.8258 0.9987 0.7408
Co: 0.9987 0.8258 0.2408
O: 0.0236 0.1973 0.3452
O: 0.1220 0.6297 0.6402
O: 0.1973 0.0236 0.8452
O: 0.2950 0.8066 0.1403
O: 0.3658 0.5393 0.3491
O: 0.4568 0.9607 0.6403
O: 0.5393 0.3658 0.8491
O: 0.6297 0.1220 0.1402
O: 0.7051 0.8566 0.3454
O: 0.8066 0.2950 0.6403
O: 0.8566 0.7051 0.8454
O: 0.9607 0.4568 0.1403

=====

Record 15
The following is a DFT calculation (GGA-PBEsol) of an optimized crystal structure of CsInTe2.

Values from the calculation:
Total magnetization: 0.0 μB per formula unit
Energy: -3.4020 eV per atom
Formation energy from raw total energies: -2.63 eV/f.u.

a b c (Å): 7.5941 7.5941 7.5941
angles (deg): 111.69 111.69 105.13
Positions (direct):
Cs: 0.0000 0.0000 0.0000
Cs: 0.7500 0.2500 0.5000
In: 0.2500 0.7500 0.5000
In: 0.5000 0.5000 0.0000
Te: 0.2128 0.1250 0.5878
Te: 0.3750 0.7872 0.9122
Te: 0.5372 0.6250 0.4122
Te: 0.8750 0.4628 0.0878

=====

Record 16
The following is a DFT calculation (GGA-PBEsol) of an optimized crystal structure of NaPRuS2.

Values from the calculation:
Total magnetization: 2.2 μB per formula unit
Energy: -3.4938 eV per atom
Formation energy from raw total energies: 8.66 eV/f.u.

a b c (Å): 4.6316 4.6316 4.6159
angles (deg): 90.00 90.00 90.00
Positions (direct):
Na: 0.0000 0.0000 0.0000
P: 0.0000 0.0000 0.5000
Ru: 0.5000 0.5000 0.5000
S: 0.0000 0.5000 0.0000
S: 0.5000 0.0000 0.0000

=====

Record 17
The following is a DFT calculation (GGA-PBEsol) of an optimized crystal structure of Nb2P.

Values from the calculation:
Total magnetization: 0.0 μB per formula unit
Energy: -10.0307 eV per atom

a b c (Å): 17.9476 3.4283 13.8068
angles (deg): 90.00 90.00 90.00
Positions (direct):
Nb: 0.0000 0.0000 0.0000
Nb: 0.0000 0.5000 0.5000
Nb: 0.0010 0.0000 0.3384
Nb: 0.0619 0.5000 0.1570
Nb: 0.1206 0.5000 0.9303
Nb: 0.1426 0.0000 0.4964
Nb: 0.1625 0.0000 0.7385
Nb: 0.1654 0.0000 0.2596
Nb: 0.2500 0.0000 0.9392
Nb: 0.2500 0.5000 0.1135
Nb: 0.2500 0.5000 0.3826
Nb: 0.2500 0.5000 0.6112
Nb: 0.3346 0.0000 0.2596
Nb: 0.3375 0.0000 0.7385
Nb: 0.3574 0.0000 0.4964
Nb: 0.3794 0.5000 0.9303
Nb: 0.4381 0.5000 0.1570
Nb: 0.4990 0.0000 0.3384
Nb: 0.5000 0.0000 0.0000
Nb: 0.5000 0.5000 0.5000
Nb: 0.5010 0.0000 0.6616
Nb: 0.5619 0.5000 0.8430
Nb: 0.6206 0.5000 0.0697
Nb: 0.6426 0.0000 0.5036
Nb: 0.6625 0.0000 0.2615
Nb: 0.6654 0.0000 0.7404
Nb: 0.7500 0.0000 0.0608
Nb: 0.7500 0.5000 0.3888
Nb: 0.7500 0.5000 0.6174
Nb: 0.7500 0.5000 0.8865
Nb: 0.8346 0.0000 0.7404
Nb: 0.8375 0.0000 0.2615
Nb: 0.8574 0.0000 0.5036
Nb: 0.8794 0.5000 0.0697
Nb: 0.9381 0.5000 0.8430
Nb: 0.9990 0.0000 0.6616
P: 0.0453 0.0000 0.8292
P: 0.1039 0.5000 0.3636
P: 0.1044 0.5000 0.6278
P: 0.1437 0.0000 0.0685
P: 0.2500 0.5000 0.8098
P: 0.3563 0.0000 0.0685
P: 0.3961 0.5000 0.3636
P: 0.3956 0.5000 0.6278
P: 0.4547 0.0000 0.8292
P: 0.5453 0.0000 0.1708
P: 0.6044 0.5000 0.3722
P: 0.6039 0.5000 0.6364
P: 0.6437 0.0000 0.9315
P: 0.7500 0.5000 0.1902
P: 0.8563 0.0000 0.9315
P: 0.8956 0.5000 0.3722
P: 0.8961 0.5000 0.6364
P: 0.9547 0.0000 0.1708

=====

Record 18
The following is a DFT calculation (GGA-PBEsol) of an optimized crystal structure of BaZr2Rh.

Values from the calculation:
Total magnetization: 0.0 μB per formula unit
Energy: -7.1396 eV per atom
Relative energy among the computed polymorphs: 60.6 meV/atom

a b c (Å): 3.3632 3.3632 8.5905
angles (deg): 90.00 90.00 90.00
Positions (direct):
Ba: 0.0000 0.0000 0.0000
Zr: 0.5000 0.5000 0.3304
Zr: 0.5000 0.5000 0.6696
Rh: 0.0000 0.0000 0.5000

=====

Record 19
The following is a DFT calculation (GGA-PBEsol) of an optimized crystal structure of RbTlS2.

Values from the calculation:
Total magnetization: 0.0 μB per formula unit
Energy: -3.7133 eV per atom
Relative energy among the computed polymorphs: 0.0 meV/atom
Formation energy from raw total energies: -2.43 eV/f.u.

a b c (Å): 6.8442 6.8442 6.8442
angles (deg): 113.55 113.55 101.59
Positions (direct):
Rb: 0.0000 0.0000 0.0000
Rb: 0.7500 0.2500 0.5000
Tl: 0.2500 0.7500 0.5000
Tl: 0.5000 0.5000 0.0000
S: 0.2005 0.6250 0.0755
S: 0.3750 0.4505 0.5755
S: 0.5495 0.1250 0.9245
S: 0.8750 0.7995 0.4245

=====

Record 20
The following is a DFT calculation (GGA-PBEsol) of an optimized crystal structure of SiNi2Hg.

Values from the calculation:
Total magnetization: 0.0 μB per formula unit
Energy: -4.6653 eV per atom
Relative energy among the computed polymorphs: 280.3 meV/atom
Formation energy from raw total energies: -0.03 eV/f.u.

a b c (Å): 2.7887 3.3335 5.9230
angles (deg): 90.00 90.00 90.00
Positions (direct):
Si: 0.0000 0.0000 0.0000
Ni: 0.0000 0.0000 0.6211
Ni: 0.5000 0.5000 0.8576
Hg: 0.5000 0.5000 0.3577